GdTmGa2 | PBE | optimized geometry

The structure in CIF format:
```
data_GdTmGa2
_chemical_formula_sum 'Gd4 Tm4 Ga8'
_space_group_name_H-M_alt 'F m -3 m'
_space_group_IT_number 225
_space_group_name_Hall '-F 4 2 3'
_cell_length_a 7.133
_cell_length_b 7.133
_cell_length_c 7.133
_cell_angle_alpha 90.00
_cell_angle_beta 90.00
_cell_angle_gamma 90.00
loop_
_atom_site_label
_atom_site_fract_x
_atom_site_fract_y
_atom_site_fract_z
Gd1 0.000 0.000 0.000
Tm1 0.000 0.000 0.500
Ga1 0.250 0.250 0.250
```

Results
excess energy over the best structure of this formula in the dataset = 8.7 meV/atom
total moment = 7.036 μB/f.u.
formation energy from the elements = -2.303 eV per formula unit